An optimized crystal structure of Sm2Dy2TmSc, computed with PBE.

The structure in POSCAR format:
```
Sm2Dy2TmSc
1.0
6.844 0.000 0.000
0.000 5.562 0.000
0.000 0.000 9.623
Sm Dy Tm Sc
4 4 2 2
Cartesian
0.000 0.000 0.000
1.711 2.781 1.774
3.422 0.000 0.000
5.133 2.781 7.849
1.711 0.000 3.193
1.711 2.781 8.044
5.133 0.000 6.430
5.133 2.781 1.579
1.711 0.000 6.291
5.133 0.000 3.332
0.000 2.781 4.811
3.422 2.781 4.811
```

calculated volume: 30.53 Å³/atom
VASP energy: -4.812 eV per atom